KBeNb GGA-PBE relaxed; symmetry = F-43m; mass density = 2.973 Mg/m³; E = -9.4 eV/cell
1.0
0.0000 3.4021 3.4021
3.4021 0.0000 3.4021
3.4021 3.4021 0.0000
Be K Nb
1 1 1
Direct
0.0000 0.0000 0.0000
0.2500 0.2500 0.2500
0.7500 0.7500 0.7500